# Cs2SiNiF6 | Alexandria | PBE+U | relaxed
data_Cs2SiNiF6
_space_group_name_H-M_alt 'I 4/m m m'
_space_group_IT_number 139
_space_group_name_Hall '-I 4 2'
_cell_length_a 6.738
_cell_length_b 6.738
_cell_length_c 9.382
_cell_angle_alpha 90.00
_cell_angle_beta 90.00
_cell_angle_gamma 90.00
loop_
_atom_site_label
_atom_site_fract_x
_atom_site_fract_y
_atom_site_fract_z
Cs1 0.000 0.500 0.250
Si1 0.000 0.000 0.000
Ni1 0.000 0.000 0.500
F1 0.000 0.000 0.184
F2 0.181 0.181 0.000
# Size of the total moment, μB/atom: 0.200
# Crystal system: tetragonal
# Uncorrected energy, eV per atom: -4.4924